A relaxed structure of MgS, computed with PBE.

Unit cell a=4.0589 b=4.0589 c=6.4694 alpha=90.00 beta=90.00 gamma=120.00
Positions (direct):
S 0.3333 0.6667 0.6212
S 0.6667 0.3333 0.1212
Mg 0.6667 0.3333 0.5038
Mg 0.3333 0.6667 0.0038

Values from the calculation:
The total energy comes out at -0.15756 Ha/atom. As for the space group: P6_3mc (186).



A relaxed structure of CoAsBr2N, computed with PBE.

Unit cell a=4.4746 b=4.4746 c=4.5781 alpha=90.00 beta=90.00 gamma=90.00
Positions (direct):
Br 0.5000 0.0000 0.0000
Br 0.0000 0.5000 0.0000
Co 0.5000 0.5000 0.5000
N 0.0000 0.0000 0.0000
As 0.0000 0.0000 0.5000

Values from the calculation:
The total energy comes out at -0.12086 Ha/atom. As for the offset from the most stable computed form: 209.7 meV/atom. As for the space group: P4/mmm (123).



A relaxed structure of Pr3DyTh, computed with PBE.

Unit cell a=5.9506 b=6.3532 c=9.7574 alpha=109.02 beta=90.00 gamma=90.00
Positions (direct):
Pr 0.2500 0.0578 0.7880
Pr 0.7500 0.3231 0.9910
Pr 0.2500 0.4475 0.5957
Pr 0.7500 0.5525 0.4043
Pr 0.7500 0.9422 0.2120
Pr 0.2500 0.6769 0.0090
Th 0.2500 0.8764 0.4007
Th 0.7500 0.1236 0.5993
Dy 0.2500 0.2720 0.2010
Dy 0.7500 0.7280 0.7990

Values from the calculation:
Its formation enthalpy at 0 K is 61.4 meV per atom. The total energy comes out at -0.19149 Ha/atom. As for the space group: P2_1/m (11).



A relaxed structure of Ba3C5, computed with PBE.

Unit cell a=9.8846 b=7.3073 c=5.9928 alpha=90.00 beta=90.00 gamma=116.55
Positions (direct):
Ba 0.2997 0.3535 0.2500
Ba 0.0214 0.3190 0.7500
Ba 0.6616 0.5999 0.7500
Ba 0.3973 0.0031 0.7500
Ba 0.9945 0.6987 0.2500
Ba 0.7005 0.0209 0.2500
C 0.3382 0.7594 0.3686
C 0.9849 0.6894 0.7500
C 0.3307 0.3362 0.7500
C 0.3174 0.9164 0.2500
C 0.6246 0.3536 0.1300
C 0.6583 0.5393 0.2500
C 0.6246 0.3536 0.3700
C 0.7068 0.0062 0.7500
C 0.3382 0.7594 0.1314
C 0.0012 0.2913 0.2500

Values from the calculation:
Its formation enthalpy at 0 K is 1141.7 meV per atom. The total energy comes out at -0.19640 Ha/atom. As for the offset from the most stable computed form: 932.4 meV/atom. As for the space group: Pm (6).



A relaxed structure of Li2Tm2ScIn5, computed with PBE.

Unit cell a=4.3407 b=10.1173 c=10.1173 alpha=90.00 beta=90.00 gamma=90.00
Positions (direct):
Sc 0.0000 0.5000 0.5000
Sc 0.0000 0.0000 0.0000
Li 0.0000 0.1199 0.6199
Li 0.0000 0.8801 0.3801
Li 0.0000 0.3801 0.1199
Li 0.0000 0.6199 0.8801
Tm 0.0000 0.8248 0.6752
Tm 0.0000 0.6752 0.1752
Tm 0.0000 0.1752 0.3248
Tm 0.0000 0.3248 0.8248
In 0.5000 0.2062 0.0733
In 0.5000 0.7062 0.4267
In 0.5000 0.0733 0.7938
In 0.5000 0.9267 0.2062
In 0.5000 0.5000 0.0000
In 0.5000 0.4267 0.2938
In 0.5000 0.2938 0.5733
In 0.5000 0.5733 0.7062
In 0.5000 0.7938 0.9267
In 0.5000 0.0000 0.5000

Values from the calculation:
Its formation enthalpy at 0 K is -330.1 meV per atom. The total energy comes out at -0.13265 Ha/atom. As for the space group: P4/mbm (127).